Density functional theory data (PBE) for a geometry-optimized Sm3GeRh2 structure.

a = 3.9414 Å, b = 12.2255 Å, c = 11.9391 Å
α = 90.00°, β = 90.00°, γ = 90.00°
Last column: nearest neighbours and their distance in Å.
Positions (direct):
Sm: 0.2500 0.3801 0.0588  5 Rh 2.99-3.23, 1 Ge 3.09
Sm: 0.7500 0.6199 0.9412  5 Rh 2.99-3.23, 1 Ge 3.09
Sm: 0.7500 0.8801 0.4412  5 Rh 2.99-3.23, 1 Ge 3.09
Sm: 0.2500 0.1199 0.5588  5 Rh 2.99-3.23, 1 Ge 3.09
Sm: 0.2500 0.6843 0.1988  3 Rh 2.87-2.88, 2 Ge 2.99
Sm: 0.7500 0.3157 0.8012  3 Rh 2.87-2.88, 2 Ge 2.99
Sm: 0.7500 0.1843 0.3012  3 Rh 2.87-2.88, 2 Ge 2.99
Sm: 0.2500 0.8157 0.6988  3 Rh 2.87-2.88, 2 Ge 2.99
Sm: 0.2500 0.4396 0.3728  4 Rh 3.04-3.09, 3 Ge 3.08-3.10
Sm: 0.7500 0.5604 0.6272  4 Rh 3.04-3.09, 3 Ge 3.08-3.10
Sm: 0.7500 0.9396 0.1272  4 Rh 3.04-3.09, 3 Ge 3.08-3.10
Sm: 0.2500 0.0604 0.8728  4 Rh 3.04-3.09, 3 Ge 3.08-3.10
Ge: 0.2500 0.1348 0.1193  3 Rh 2.48-2.73
Ge: 0.7500 0.8652 0.8807  3 Rh 2.48-2.73
Ge: 0.7500 0.6348 0.3807  3 Rh 2.48-2.73
Ge: 0.2500 0.3652 0.6193  3 Rh 2.48-2.73
Rh: 0.2500 0.6954 0.4911  2 Ge 2.48
Rh: 0.7500 0.3046 0.5089  2 Ge 2.48
Rh: 0.7500 0.1954 0.0089  2 Ge 2.48
Rh: 0.2500 0.8046 0.9911  2 Ge 2.48
Rh: 0.2500 0.0139 0.3113  1 Ge 2.73, 4 Sm 2.87-2.99
Rh: 0.7500 0.9861 0.6887  1 Ge 2.73, 4 Sm 2.87-2.99
Rh: 0.7500 0.5139 0.1887  1 Ge 2.73, 4 Sm 2.87-2.99
Rh: 0.2500 0.4861 0.8113  1 Ge 2.73, 4 Sm 2.87-2.99

Values from the calculation:
As for the energy of formation from the pure elements: -0.72 eV/atom. The space group is Pnma, No. 62.